Record 1
DFT (PBE-GGA) results for an optimized crystal structure of Nd2ZnAs4.

**D(E_F)**: 2.7 states/eV/f.u.
**Size of the total moment**: 0.0000 μB/atom
**ΔE_f**: -0.883 eV/atom
**Theoretical density**: 6678 kg/m³

Geometry as CIF:
```
data_Nd2ZnAs4
_symmetry_space_group_name_H-M 'P -4 m 2'
_symmetry_Int_Tables_number 115
_cell_length_a 3.982
_cell_length_b 3.982
_cell_length_c 10.248
_cell_angle_alpha 90.00
_cell_angle_beta 90.00
_cell_angle_gamma 90.00
loop_
_symmetry_equiv_pos_as_xyz
'x,y,z'
'y,-x,-z'
'-x,-y,z'
'-y,x,-z'
'-x,y,z'
'-y,-x,-z'
'x,-y,z'
'y,x,-z'
loop_
_atom_site_label
_atom_site_type_symbol
_atom_site_fract_x
_atom_site_fract_y
_atom_site_fract_z
Nd1 Nd 0.000 0.500 0.238
Zn1 Zn 0.000 0.000 0.500
As1 As 0.000 0.000 0.000
As2 As 0.000 0.500 0.651
As3 As 0.500 0.500 0.000
```

***

Record 2
DFT (PBE-GGA) results for an optimized crystal structure of YTmTlGa.

**D(E_F)**: 1.8 states/eV/f.u.
**Size of the total moment**: 0.0000 μB/atom
**ΔE_f**: -0.426 eV/atom
**Offset from the most stable computed form**: 30 meV/atom
**Theoretical density**: 8893 kg/m³

Geometry as CIF:
```
data_YTmTlGa
_symmetry_space_group_name_H-M 'F -4 3 m'
_symmetry_Int_Tables_number 216
_symmetry_space_group_name_Hall 'F -4 2 3'
_cell_length_a 7.351
_cell_length_b 7.351
_cell_length_c 7.351
_cell_angle_alpha 90.00
_cell_angle_beta 90.00
_cell_angle_gamma 90.00
loop_
_atom_site_label
_atom_site_type_symbol
_atom_site_fract_x
_atom_site_fract_y
_atom_site_fract_z
Y1 Y 0.000 0.000 0.000
Tm1 Tm 0.000 0.000 0.500
Tl1 Tl 0.250 0.250 0.250
Ga1 Ga 0.250 0.250 0.750
```

***

Record 3
DFT (PBE-GGA) results for an optimized crystal structure of NdErAgSb.

**Uncorrected formation energy**: -0.542 eV per atom
**D(E_F)**: 5.0 states/eV/f.u.
**Size of the total moment**: 0.0448 μB/atom
**Theoretical density**: 8606 kg/m³

Geometry as CIF:
```
data_NdErAgSb
_symmetry_space_group_name_H-M 'F -4 3 m'
_symmetry_Int_Tables_number 216
_symmetry_space_group_name_Hall 'F -4 2 3'
_cell_length_a 7.475
_cell_length_b 7.475
_cell_length_c 7.475
_cell_angle_alpha 90.00
_cell_angle_beta 90.00
_cell_angle_gamma 90.00
loop_
_atom_site_label
_atom_site_type_symbol
_atom_site_fract_x
_atom_site_fract_y
_atom_site_fract_z
Nd1 Nd 0.000 0.000 0.000
Er1 Er 0.000 0.000 0.500
Ag1 Ag 0.250 0.250 0.750
Sb1 Sb 0.250 0.250 0.250
```